(1)
A plane-wave DFT calculation with PBE was carried out for a geometry-optimized Cd3BAu structure.

Crystal system: cubic
Polymorph energy (0 for the lowest one) (meV per atom): 0.0
Magnetization (μB per formula unit): 0.000
Calculated total energy (eV/atom): -2.19

Lattice parameters (Å, degrees): 4.6120 4.6120 4.6120 90.00 90.00 90.00
Element x y z (fractional)
Cd (0.0000, 0.0000, 0.5000)
Cd (0.0000, 0.5000, 0.0000)
Cd (0.5000, 0.0000, 0.0000)
B (0.0000, 0.0000, 0.0000)
Au (0.5000, 0.5000, 0.5000)

=====

(2)
A plane-wave DFT calculation with PBE was carried out for a geometry-optimized CdB3Au structure.

Crystal system: cubic
Polymorph energy (0 for the lowest one) (meV per atom): 600.7
Magnetization (μB per formula unit): 0.000
Calculated total energy (eV/atom): -2.52

Lattice parameters (Å, degrees): 4.3784 4.3784 4.3784 90.00 90.00 90.00
Element x y z (fractional)
Cd (0.0000, 0.0000, 0.0000)
B (0.0000, 0.0000, 0.5000)
B (0.0000, 0.5000, 0.0000)
B (0.5000, 0.0000, 0.0000)
Au (0.5000, 0.5000, 0.5000)

=====

(3)
A plane-wave DFT calculation with PBE was carried out for a geometry-optimized Cd3BAu structure.

Crystal system: cubic
Polymorph energy (0 for the lowest one) (meV per atom): 694.8
Magnetization (μB per formula unit): 0.000
Calculated total energy (eV/atom): -1.49

Lattice parameters (Å, degrees): 5.2449 5.2449 5.2449 90.00 90.00 90.00
Element x y z (fractional)
Cd (0.0000, 0.0000, 0.5000)
Cd (0.0000, 0.5000, 0.0000)
Cd (0.5000, 0.0000, 0.0000)
B (0.5000, 0.5000, 0.5000)
Au (0.0000, 0.0000, 0.0000)

=====

(4)
A plane-wave DFT calculation with PBE was carried out for a geometry-optimized Cd2BAu structure.

Crystal system: tetragonal
Magnetization (μB per formula unit): 0.000
Calculated total energy (eV/atom): -2.64

Lattice parameters (Å, degrees): 6.8581 6.8581 6.8581 95.88 95.88 142.68
Element x y z (fractional)
Cd (0.0000, 0.0000, 0.0000)
Cd (0.0000, 0.0000, 0.5000)
Cd (0.0000, 0.5000, 0.0000)
Cd (0.5000, 0.0000, 0.5000)
B (0.1250, 0.8750, 0.2500)
B (0.8750, 0.1250, 0.7500)
Au (0.3750, 0.6250, 0.7500)
Au (0.6250, 0.3750, 0.2500)

=====

(5)
A plane-wave DFT calculation with PBE was carried out for a geometry-optimized CrCdBAu2 structure.

Crystal system: tetragonal
Magnetization (μB per formula unit): 0.291
Calculated total energy (eV/atom): -2.50

Lattice parameters (Å, degrees): 5.0910 5.0910 4.9693 90.00 90.00 90.00
Element x y z (fractional)
Cr (0.0000, 0.0000, 0.0000)
Cd (0.0000, 0.0000, 0.5000)
B (0.5000, 0.5000, 0.0000)
Au (0.0000, 0.5000, 0.5000)
Au (0.5000, 0.0000, 0.5000)

=====

(6)
A plane-wave DFT calculation with PBE was carried out for a geometry-optimized CdBOs2Au structure.

Crystal system: tetragonal
Magnetization (μB per formula unit): 4.716
Calculated total energy (eV/atom): -3.69

Lattice parameters (Å, degrees): 4.9947 4.9947 5.0926 90.00 90.00 90.00
Element x y z (fractional)
Cd (0.0000, 0.0000, 0.0000)
B (0.5000, 0.5000, 0.0000)
Os (0.0000, 0.5000, 0.5000)
Os (0.5000, 0.0000, 0.5000)
Au (0.0000, 0.0000, 0.5000)

=====

(7)
A plane-wave DFT calculation with PBE was carried out for a geometry-optimized CdBPt2Au structure.

Crystal system: tetragonal
Magnetization (μB per formula unit): 0.000
Calculated total energy (eV/atom): -4.69

Lattice parameters (Å, degrees): 4.2328 4.2328 4.4688 90.00 90.00 90.00
Element x y z (fractional)
Cd (0.0000, 0.0000, 0.0000)
B (0.5000, 0.5000, 0.5000)
Pt (0.0000, 0.5000, 0.5000)
Pt (0.5000, 0.0000, 0.5000)
Au (0.5000, 0.5000, 0.0000)

=====

(8)
A plane-wave DFT calculation with PBE was carried out for a geometry-optimized CdBRh2Au structure.

Crystal system: tetragonal
Magnetization (μB per formula unit): 0.000
Calculated total energy (eV/atom): -5.24

Lattice parameters (Å, degrees): 4.1845 4.1845 4.2957 90.00 90.00 90.00
Element x y z (fractional)
Cd (0.0000, 0.0000, 0.0000)
B (0.5000, 0.5000, 0.5000)
Rh (0.0000, 0.5000, 0.5000)
Rh (0.5000, 0.0000, 0.5000)
Au (0.5000, 0.5000, 0.0000)

=====

(9)
A plane-wave DFT calculation with PBE was carried out for a geometry-optimized CdBAu2S structure.

Crystal system: tetragonal
Magnetization (μB per formula unit): 0.000
Calculated total energy (eV/atom): -2.40

Lattice parameters (Å, degrees): 4.6950 4.6950 5.5099 90.00 90.00 90.00
Element x y z (fractional)
Cd (0.0000, 0.0000, 0.0000)
B (0.5000, 0.5000, 0.0000)
Au (0.0000, 0.5000, 0.5000)
Au (0.5000, 0.0000, 0.5000)
S (0.0000, 0.0000, 0.5000)

=====

(10)
A plane-wave DFT calculation with PBE was carried out for a geometry-optimized TaCdB2Au structure.

Crystal system: tetragonal
Polymorph energy (0 for the lowest one) (meV per atom): 595.8
Magnetization (μB per formula unit): 0.000
Calculated total energy (eV/atom): -3.78

Lattice parameters (Å, degrees): 4.1191 4.1191 5.4893 90.00 90.00 90.00
Element x y z (fractional)
Ta (0.0000, 0.0000, 0.0000)
Cd (0.0000, 0.0000, 0.5000)
B (0.0000, 0.5000, 0.5000)
B (0.5000, 0.0000, 0.5000)
Au (0.5000, 0.5000, 0.0000)

=====

(11)
A plane-wave DFT calculation with PBE was carried out for a geometry-optimized TaCdB2Au structure.

Crystal system: tetragonal
Polymorph energy (0 for the lowest one) (meV per atom): 0.0
Magnetization (μB per formula unit): 0.000
Calculated total energy (eV/atom): -4.38

Lattice parameters (Å, degrees): 4.2694 4.2694 5.5019 90.00 90.00 90.00
Element x y z (fractional)
Ta (0.0000, 0.0000, 0.0000)
Cd (0.0000, 0.0000, 0.5000)
B (0.0000, 0.5000, 0.0000)
B (0.5000, 0.0000, 0.0000)
Au (0.5000, 0.5000, 0.5000)

=====

(12)
A plane-wave DFT calculation with PBE was carried out for a geometry-optimized CdTc2BAu structure.

Crystal system: tetragonal
Magnetization (μB per formula unit): 0.498
Calculated total energy (eV/atom): -5.95

Lattice parameters (Å, degrees): 4.2081 4.2081 4.3283 90.00 90.00 90.00
Element x y z (fractional)
Cd (0.0000, 0.0000, 0.0000)
Tc (0.0000, 0.5000, 0.5000)
Tc (0.5000, 0.0000, 0.5000)
B (0.5000, 0.5000, 0.5000)
Au (0.5000, 0.5000, 0.0000)